# 1
First-principles (PBEsol) data for a relaxed Ca2ZnAu2 crystal, as listed in the Alexandria database.

## Properties
- Calculated total energy: -3.188 eV per atom

Cell: 5.6763 5.6763 7.6616 Å, 90.00 90.00 90.00°
With the nearest neighbours (Å) after each atom.
Space group I4/mmm (No. 139)
Asymmetric unit:
Ca 0.0000 0.5000 0.2500 [4 per cell]  4 Au 2.90
Zn 0.0000 0.0000 0.0000 [2 per cell]  2 Au 2.53
Au 0.0000 0.0000 0.3299 [4 per cell]  1 Zn 2.53, 1 Au 2.61



# 2
First-principles (PBEsol) data for a relaxed Ca2ZrAu crystal, as listed in the Alexandria database.

## Properties
- Calculated total energy: -4.434 eV per atom

Cell: 3.5078 5.3210 11.2644 Å, 90.00 90.00 90.00°
With the nearest neighbours (Å) after each atom.
Space group Imm2 (No. 44)
Asymmetric unit:
Ca 0.0000 0.0000 0.0000 [2 per cell]  4 Au 3.19, 4 Ca 3.51-3.52, 2 Zr 3.52
Ca 0.0000 0.5000 0.2041 [2 per cell]  2 Au 3.06, 4 Zr 3.35
Zr 0.0000 0.5000 0.7950 [2 per cell]  2 Au 2.74
Au 0.0000 0.0000 0.4819 [2 per cell]  2 Zr 2.74, 2 Ca 3.06



# 3
First-principles (PBEsol) data for a relaxed CaZr2Au crystal, as listed in the Alexandria database.

## Properties
- Calculated total energy: -6.069 eV per atom

Cell: 3.1081 3.1081 9.6173 Å, 90.00 90.00 90.00°
With the nearest neighbours (Å) after each atom.
Space group P4/mmm (No. 123)
Asymmetric unit:
Ca 0.0000 0.0000 0.0000 [1 per cell]  4 Ca 3.11
Zr 0.5000 0.5000 0.2985 [2 per cell]  4 Au 2.93, 4 Zr 3.11
Au 0.0000 0.0000 0.5000 [1 per cell]  8 Zr 2.93, 4 Au 3.11



# 4
First-principles (PBEsol) data for a relaxed CdAu4 crystal, as listed in the Alexandria database.

## Properties
- Calculated total energy: -3.410 eV per atom

Cell: 2.9523 2.9523 34.5978 Å, 90.00 90.00 120.00°
With the nearest neighbours (Å) after each atom.
Space group R-3m (No. 166, hexagonal axes)
Asymmetric unit:
Cd 0.0000 0.0000 0.0000 [3 per cell]  6 Au 2.89, 6 Cd 2.95
Au 0.0000 0.0000 0.1995 [6 per cell]  12 Au 2.84-2.95
Au 0.0000 0.0000 0.4007 [6 per cell]  9 Au 2.86-2.95, 3 Cd 2.89



# 5
First-principles (PBEsol) data for a relaxed Cd7Au crystal, as listed in the Alexandria database.

## Properties
- Calculated total energy: -1.565 eV per atom

Cell: 8.5997 8.5997 8.5997 Å, 90.00 90.00 90.00°
With the nearest neighbours (Å) after each atom.
Space group Fm-3m (No. 225)
Asymmetric unit:
Cd 0.0000 0.0000 0.0000 [4 per cell]  12 Cd 3.04
Cd 0.0000 0.2500 0.2500 [24 per cell]  10 Cd 3.04, 2 Au 3.04
Au 0.0000 0.0000 0.5000 [4 per cell]  12 Cd 3.04



# 6
First-principles (PBEsol) data for a relaxed CdAu2 crystal, as listed in the Alexandria database.

## Properties
- Calculated total energy: -3.089 eV per atom

Cell: 2.9388 14.9421 4.8325 Å, 90.00 90.00 90.00°
With the nearest neighbours (Å) after each atom.
Space group Cmcm (No. 63)
Asymmetric unit:
Cd 0.0000 0.2180 0.2500 [4 per cell]  6 Au 2.87-2.92, 6 Cd 2.94-2.99
Au 0.0000 0.1132 0.7500 [4 per cell]  4 Cd 2.88-2.92, 8 Au 2.88-2.97
Au 0.0000 0.4471 0.7500 [4 per cell]  2 Cd 2.87, 10 Au 2.88-2.97



# 7
First-principles (PBEsol) data for a relaxed CdAu3 crystal, as listed in the Alexandria database.

## Properties
- Calculated total energy: -3.326 eV per atom

Cell: 2.9898 2.9898 7.8254 Å, 90.00 90.00 90.00°
With the nearest neighbours (Å) after each atom.
Space group P4/mmm (No. 123)
Asymmetric unit:
Cd 0.0000 0.0000 0.0000 [1 per cell]  8 Au 2.90, 4 Cd 2.99
Au 0.0000 0.0000 0.5000 [1 per cell]  12 Au 2.87-2.99
Au 0.5000 0.5000 0.2529 [2 per cell]  8 Au 2.87-2.99, 4 Cd 2.90



# 8
First-principles (PBEsol) data for a relaxed CdAu3 crystal, as listed in the Alexandria database.

## Properties
- Calculated total energy: -3.285 eV per atom

Cell: 2.9552 2.9552 27.7994 Å, 90.00 90.00 120.00°
With the nearest neighbours (Å) after each atom.
Space group R-3m (No. 166, hexagonal axes)
Asymmetric unit:
Cd 0.0000 0.0000 0.0000 [3 per cell]  6 Au 2.89, 6 Cd 2.96
Au 0.0000 0.0000 0.2495 [6 per cell]  9 Au 2.87-2.96, 3 Cd 2.89
Au 0.0000 0.0000 0.5000 [3 per cell]  12 Au 2.87-2.96



# 9
First-principles (PBEsol) data for a relaxed Cd2Au crystal, as listed in the Alexandria database.

## Properties
- Calculated total energy: -2.232 eV per atom

Cell: 3.3565 3.8007 8.8925 Å, 90.00 90.00 90.00°
With the nearest neighbours (Å) after each atom.
Space group Immm (No. 71)
Asymmetric unit:
Cd 0.0000 0.0000 0.1634 [4 per cell]  5 Cd 2.91-2.97, 5 Au 2.92-2.99
Au 0.0000 0.0000 0.5000 [2 per cell]  10 Cd 2.92-2.99



# 10
First-principles (PBEsol) data for a relaxed CdAu3 crystal, as listed in the Alexandria database.

## Properties
- Calculated total energy: -3.371 eV per atom

Cell: 4.0799 4.0799 4.1849 Å, 90.00 90.00 90.00°
With the nearest neighbours (Å) after each atom.
Space group P4/mmm (No. 123)
Asymmetric unit:
Cd 0.0000 0.0000 0.0000 [1 per cell]  12 Au 2.88-2.92
Au 0.0000 0.5000 0.5000 [2 per cell]  8 Au 2.88-2.92, 4 Cd 2.92
Au 0.5000 0.5000 0.0000 [1 per cell]  4 Cd 2.88, 8 Au 2.92



# 11
First-principles (PBEsol) data for a relaxed CdAu3 crystal, as listed in the Alexandria database.

## Properties
- Calculated total energy: -3.371 eV per atom

Cell: 9.0821 4.1524 4.1524 Å, 90.00 117.02 90.00°
With the nearest neighbours (Å) after each atom.
Space group C2/m (No. 12)
Asymmetric unit:
Cd 0.0000 0.0000 0.0000 [2 per cell]  12 Au 2.89-2.94
Au 0.0000 0.5000 0.5000 [2 per cell]  8 Au 2.89-2.90, 4 Cd 2.94
Au 0.2500 0.0000 0.7500 [4 per cell]  4 Cd 2.89-2.90, 8 Au 2.89-2.94



# 12
First-principles (PBEsol) data for a relaxed Cd4Au crystal, as listed in the Alexandria database.

## Properties
- Calculated total energy: -1.808 eV per atom

Cell: 3.4719 3.8545 14.7436 Å, 90.00 90.00 90.00°
With the nearest neighbours (Å) after each atom.
Space group Immm (No. 71)
Asymmetric unit:
Cd 0.0000 0.0000 0.0966 [4 per cell]  6 Cd 2.85-3.03, 4 Au 2.96
Cd 0.0000 0.0000 0.3019 [4 per cell]  1 Au 2.92, 9 Cd 2.99-3.03
Au 0.0000 0.0000 0.5000 [2 per cell]  10 Cd 2.92-2.96



# 13
First-principles (PBEsol) data for a relaxed Cd2Au crystal, as listed in the Alexandria database.

## Properties
- Calculated total energy: -2.260 eV per atom

Cell: 7.9454 7.9454 3.1415 Å, 90.00 90.00 120.00°
With the nearest neighbours (Å) after each atom.
Space group P-62m (No. 189)
Asymmetric unit:
Cd 0.0000 0.2941 0.0000 [3 per cell]  4 Au 2.82, 8 Cd 3.07-3.14
Cd 0.0000 0.6264 0.5000 [3 per cell]  5 Au 2.96-2.97, 8 Cd 3.07-3.14
Au 0.0000 0.0000 0.5000 [1 per cell]  9 Cd 2.82-2.97, 2 Au 3.14
Au 0.3333 0.6667 0.0000 [2 per cell]  9 Cd 2.82-2.96, 2 Au 3.14



# 14
First-principles (PBEsol) data for a relaxed CdAu4 crystal, as listed in the Alexandria database.

## Properties
- Calculated total energy: -2.944 eV per atom

Cell: 6.0209 6.0209 6.0209 Å, 90.00 90.00 90.00°
With the nearest neighbours (Å) after each atom.
Space group Im-3m (No. 229)
Asymmetric unit:
Cd 0.0000 0.0000 0.0000 [2 per cell]  8 Au 2.61
Au 0.2500 0.2500 0.2500 [8 per cell]  2 Cd 2.61



# 15
First-principles (PBEsol) data for a relaxed CdAu2 crystal, as listed in the Alexandria database.

## Properties
- Calculated total energy: -3.128 eV per atom

Cell: 10.6533 2.9921 7.0067 Å, 90.00 107.62 90.00°
With the nearest neighbours (Å) after each atom.
Space group C2/m (No. 12)
Asymmetric unit:
Cd 0.1828 0.0000 0.1411 [4 per cell]  8 Au 2.86-2.90, 4 Cd 2.99-3.15
Au 0.0359 0.5000 0.7990 [4 per cell]  5 Cd 2.86-2.90, 7 Au 2.89-3.13
Au 0.1414 0.0000 0.5304 [4 per cell]  9 Au 2.89-2.99, 3 Cd 2.89-2.90



# 16
First-principles (PBEsol) data for a relaxed CdAu2 crystal, as listed in the Alexandria database.

## Properties
- Calculated total energy: -3.121 eV per atom

Cell: 10.6809 2.9782 6.8992 Å, 90.00 104.89 90.00°
With the nearest neighbours (Å) after each atom.
Space group Cm (No. 8)
Asymmetric unit:
Cd 0.0000 0.0000 0.0000 [2 per cell]  8 Au 2.86-2.92, 4 Cd 2.98-3.04
Cd 0.1767 0.5000 0.3481 [2 per cell]  8 Au 2.88-2.91, 4 Cd 2.98-3.04
Au 0.1203 0.5000 0.7344 [2 per cell]  3 Cd 2.88-2.90, 9 Au 2.90-2.98
Au 0.2812 0.0000 0.0681 [2 per cell]  5 Cd 2.88-2.92, 7 Au 2.90-2.98
Au 0.3412 0.0000 0.6742 [2 per cell]  4 Cd 2.86-2.89, 8 Au 2.90-2.98
Au 0.4555 0.5000 0.3986 [2 per cell]  4 Cd 2.89-2.91, 8 Au 2.92-2.98



# 17
First-principles (PBEsol) data for a relaxed CdAu4 crystal, as listed in the Alexandria database.

## Properties
- Calculated total energy: -3.460 eV per atom

Cell: 9.5707 2.9733 7.0477 Å, 90.00 119.98 90.00°
With the nearest neighbours (Å) after each atom.
Space group C2/m (No. 12)
Asymmetric unit:
Cd 0.0000 0.0000 0.0000 [2 per cell]  10 Au 2.88-2.91, 2 Cd 2.97
Au 0.1016 0.5000 0.4023 [4 per cell]  10 Au 2.88-2.97, 2 Cd 2.90
Au 0.1984 0.0000 0.7995 [4 per cell]  3 Cd 2.88-2.91, 9 Au 2.88-2.97



# 18
First-principles (PBEsol) data for a relaxed Cd22Au crystal, as listed in the Alexandria database.

## Properties
- Calculated total energy: -1.229 eV per atom

Cell: 15.7609 15.7609 15.7609 Å, 90.00 90.00 90.00°
With the nearest neighbours (Å) after each atom.
Space group Fd-3m (No. 227, origin choice 2)
Asymmetric unit:
Cd 0.0000 0.0000 0.0000 [16 per cell]  6 Cd 2.80
Cd 0.0000 0.0000 0.5000 [16 per cell]  12 Cd 3.29, 2 Au 3.41
Cd 0.0187 0.3750 0.3750 [48 per cell]  4 Cd 2.80-2.95
Cd 0.0625 0.0625 0.8164 [96 per cell]  4 Cd 2.79-2.95
Au 0.1250 0.1250 0.6250 [8 per cell]  16 Cd 3.32-3.41



# 19
First-principles (PBEsol) data for a relaxed Cd4Au crystal, as listed in the Alexandria database.

## Properties
- Calculated total energy: -1.790 eV per atom

Cell: 3.1139 3.1139 20.3642 Å, 90.00 90.00 90.00°
With the nearest neighbours (Å) after each atom.
Space group I4/mmm (No. 139)
Asymmetric unit:
Cd 0.0000 0.0000 0.0925 [4 per cell]  4 Au 2.90, 8 Cd 3.07-3.11
Cd 0.0000 0.0000 0.3026 [4 per cell]  12 Cd 3.07-3.11
Au 0.0000 0.0000 0.5000 [2 per cell]  8 Cd 2.90, 4 Au 3.11



# 20
First-principles (PBEsol) data for a relaxed Cd8Au5 crystal, as listed in the Alexandria database.

## Properties
- Calculated total energy: -2.400 eV per atom

Cell: 9.8967 9.8967 9.8967 Å, 90.00 90.00 90.00°
With the nearest neighbours (Å) after each atom.
Space group I-43m (No. 217)
Asymmetric unit:
Cd 0.0358 0.3132 0.3132 [24 per cell]  6 Au 2.82-3.15, 5 Cd 2.94-2.95
Cd 0.1092 0.1092 0.1092 [8 per cell]  6 Au 2.90-2.96, 6 Cd 2.95-3.06
Au 0.0000 0.0000 0.3586 [12 per cell]  3 Au 2.80-3.05, 4 Cd 2.82-2.90
Au 0.1747 0.1747 0.8253 [8 per cell]  9 Cd 2.84-2.96, 3 Au 3.05



# 21
First-principles (PBEsol) data for a relaxed CdAu3 crystal, as listed in the Alexandria database.

## Properties
- Calculated total energy: -3.372 eV per atom

Cell: 4.1140 4.1140 4.1140 Å, 90.00 90.00 90.00°
With the nearest neighbours (Å) after each atom.
Space group Pm-3m (No. 221)
Asymmetric unit:
Cd 0.0000 0.0000 0.0000 [1 per cell]  12 Au 2.91
Au 0.0000 0.5000 0.5000 [3 per cell]  4 Cd 2.91, 8 Au 2.91



# 22
First-principles (PBEsol) data for a relaxed Cd3Au5 crystal, as listed in the Alexandria database.

## Properties
- E above lowest polymorph: 0.000 eV/atom
- Calculated total energy: -3.051 eV per atom

Cell: 7.8948 8.5522 4.2156 Å, 90.00 90.00 90.00°
With the nearest neighbours (Å) after each atom.
Space group Cmmm (No. 65)
Asymmetric unit:
Cd 0.0000 0.0000 0.0000 [2 per cell]  8 Au 2.84-2.91, 4 Cd 3.07
Cd 0.0000 0.2613 0.5000 [4 per cell]  10 Au 2.89-2.94, 2 Cd 3.07
Au 0.0000 0.5000 0.0000 [2 per cell]  8 Au 2.91-2.93, 4 Cd 2.93
Au 0.2417 0.0000 0.5000 [4 per cell]  6 Cd 2.84-2.94, 6 Au 2.93-3.00
Au 0.2500 0.2500 0.0000 [4 per cell]  6 Cd 2.89-2.91, 6 Au 2.91-3.00



# 23
First-principles (PBEsol) data for a relaxed CdAu5 crystal, as listed in the Alexandria database.

## Properties
- Calculated total energy: -3.556 eV per atom

Cell: 5.0107 5.0107 4.7582 Å, 90.00 90.00 120.00°
With the nearest neighbours (Å) after each atom.
Space group P-62m (No. 189)
Asymmetric unit:
Cd 0.0000 0.0000 0.0000 [1 per cell]  12 Au 2.89-2.91
Au 0.0000 0.6643 0.5000 [3 per cell]  10 Au 2.88-2.91, 2 Cd 2.91
Au 0.3333 0.6667 0.0000 [2 per cell]  3 Cd 2.89, 9 Au 2.89-2.90



# 24
First-principles (PBEsol) data for a relaxed Cd2Au crystal, as listed in the Alexandria database.

## Properties
- Calculated total energy: -2.193 eV per atom

Cell: 4.7272 4.7272 2.9174 Å, 90.00 90.00 120.00°
With the nearest neighbours (Å) after each atom.
Space group P-3m1 (No. 164)
Asymmetric unit:
Cd 0.3333 0.6667 0.2957 [2 per cell]  3 Au 2.86, 5 Cd 2.92-2.98
Au 0.0000 0.0000 0.0000 [1 per cell]  6 Cd 2.86, 2 Au 2.92